A plane-wave DFT calculation with PBE was carried out for a relaxed La2TbPb crystal.

## Properties
DFT formation energy	-0.349	eV/atom
total magnetization	0.0000	μB/atom
raw total energy	-4.897	eV/atom
energy above the most stable polymorph in this dataset	0.000	eV/atom

CIF file:
```
data_La2TbPb
_chemical_formula_sum 'La2 Tb1 Pb1'
_symmetry_space_group_name_H-M 'P 4/m m m'
_symmetry_Int_Tables_number 123
_symmetry_space_group_name_Hall '-P 4 2'
_cell_length_a 4.947
_cell_length_b 4.947
_cell_length_c 5.135
_cell_angle_alpha 90.00
_cell_angle_beta 90.00
_cell_angle_gamma 90.00
loop_
_atom_site_label
_atom_site_type_symbol
_atom_site_fract_x
_atom_site_fract_y
_atom_site_fract_z
La1 La 0.000 0.500 0.000
Tb1 Tb 0.000 0.000 0.500
Pb1 Pb 0.500 0.500 0.500
```